Entry from Alexandria: RuAu3 after structural relaxation (GGA-PBE).

Properties
- Crystal system: trigonal
- Energy: -4.37 eV per atom
- ΔE_f: 0.411 eV/atom

Cell: 5.4516 5.4516 5.4516 Å, 117.19 117.19 117.19°
Atoms (fractional coordinates):
Ru 0.0000 0.0000 0.0000
Au 0.0000 0.5000 0.5000
Au 0.5000 0.0000 0.5000
Au 0.5000 0.5000 0.0000